Entry 1:
Material: PuSc2Ru3
Method: DFT, PBE
State: relaxed

Structure (CIF):
```
data_PuSc2Ru3
_cell_length_a 4.6118
_cell_length_b 13.8651
_cell_length_c 6.5237
_cell_angle_alpha 90.00
_cell_angle_beta 90.00
_cell_angle_gamma 90.00
_symmetry_space_group_name_H-M 'C m m m'
_symmetry_Int_Tables_number 65
_symmetry_space_group_name_Hall '-C 2 2'
loop_
_atom_site_label
_atom_site_fract_x
_atom_site_fract_y
_atom_site_fract_z
_atom_site_occupancy
Pu1 0.0000 0.1630 0.0000 1
Sc1 0.0000 0.1658 0.5000 1
Sc2 0.0000 0.5000 0.0000 1
Sc3 0.0000 0.5000 0.5000 1
Ru1 0.0000 0.0000 0.2482 1
Ru2 0.0000 0.3326 0.2470 1
```

Computed properties:
Its energy above the most stable polymorph in this dataset is 0 meV/atom. The value obtained for the energy relative to the elements is -0.450 eV per atom.



Entry 2:
Material: Ba5TlZn2
Method: DFT, PBE
State: relaxed

Structure (CIF):
```
data_Ba5TlZn2
_cell_length_a 8.6246
_cell_length_b 8.6246
_cell_length_c 18.5105
_cell_angle_alpha 90.00
_cell_angle_beta 90.00
_cell_angle_gamma 90.00
_symmetry_space_group_name_H-M 'I 4/m c m'
_symmetry_Int_Tables_number 140
_symmetry_space_group_name_Hall '-I 4 2c'
loop_
_atom_site_label
_atom_site_fract_x
_atom_site_fract_y
_atom_site_fract_z
_atom_site_occupancy
Ba1 0.0000 0.0000 0.0000 1
Ba2 0.1833 0.3167 0.1468 1
Tl1 0.0000 0.0000 0.2500 1
Zn1 0.1045 0.3955 0.5000 1
```

Computed properties:
The value obtained for the energy relative to the elements is -0.185 eV per atom.



Entry 3:
Material: SrCd3Ru
Method: DFT, PBE
State: relaxed

Structure (CIF):
```
data_SrCd3Ru
_cell_length_a 5.2125
_cell_length_b 5.2125
_cell_length_c 5.2125
_cell_angle_alpha 90.00
_cell_angle_beta 90.00
_cell_angle_gamma 90.00
_symmetry_space_group_name_H-M 'P m -3 m'
_symmetry_Int_Tables_number 221
_symmetry_space_group_name_Hall '-P 4 2 3'
loop_
_atom_site_label
_atom_site_fract_x
_atom_site_fract_y
_atom_site_fract_z
_atom_site_occupancy
Sr1 0.0000 0.0000 0.0000 1
Cd1 0.0000 0.5000 0.5000 1
Ru1 0.5000 0.5000 0.5000 1
```

Computed properties:
Its energy above the most stable polymorph in this dataset is 0 meV/atom. The value obtained for the energy relative to the elements is 0.067 eV per atom.



Entry 4:
Material: AgSn5Te7
Method: DFT, PBE
State: relaxed

Structure (CIF):
```
data_AgSn5Te7
_cell_length_a 14.5360
_cell_length_b 4.4566
_cell_length_c 25.6548
_cell_angle_alpha 90.00
_cell_angle_beta 90.96
_cell_angle_gamma 90.00
_symmetry_space_group_name_H-M 'C 1 2/m 1'
_symmetry_Int_Tables_number 12
loop_
_symmetry_equiv_pos_as_xyz
'x,y,z'
'-x,-y,-z'
'-x,y,-z'
'x,-y,z'
'x+1/2,y+1/2,z'
'-x+1/2,-y+1/2,-z'
'-x+1/2,y+1/2,-z'
'x+1/2,-y+1/2,z'
loop_
_atom_site_label
_atom_site_fract_x
_atom_site_fract_y
_atom_site_fract_z
_atom_site_occupancy
Ag1 0.1599 0.0000 0.2824 1
Sn1 0.0000 0.0000 0.0000 1
Sn2 0.0000 0.0000 0.5000 1
Sn3 0.0604 0.5000 0.8482 1
Sn4 0.0613 0.5000 0.6552 1
Sn5 0.2179 0.5000 0.0774 1
Sn6 0.2194 0.5000 0.4235 1
Te1 0.0513 0.5000 0.2494 1
Te2 0.0845 0.0000 0.3891 1
Te3 0.0906 0.0000 0.1116 1
Te4 0.1387 0.5000 0.9653 1
Te5 0.1395 0.5000 0.5355 1
Te6 0.1891 0.0000 0.8159 1
Te7 0.1984 0.0000 0.6890 1
```

Computed properties:
Its raw formation energy is -0.20 eV per atom.



Entry 5:
Material: KSnPt
Method: DFT, PBE
State: relaxed

Structure (CIF):
```
data_KSnPt
_cell_length_a 15.9091
_cell_length_b 3.2878
_cell_length_c 7.3911
_cell_angle_alpha 90.00
_cell_angle_beta 117.60
_cell_angle_gamma 90.00
_symmetry_space_group_name_H-M 'C 1 2/m 1'
_symmetry_Int_Tables_number 12
loop_
_symmetry_equiv_pos_as_xyz
'x,y,z'
'-x,-y,-z'
'-x,y,-z'
'x,-y,z'
'x+1/2,y+1/2,z'
'-x+1/2,-y+1/2,-z'
'-x+1/2,y+1/2,-z'
'x+1/2,-y+1/2,z'
loop_
_atom_site_label
_atom_site_fract_x
_atom_site_fract_y
_atom_site_fract_z
_atom_site_occupancy
K1 0.1467 0.0000 0.1464 1
Sn1 0.1171 0.0000 0.6166 1
Pt1 0.9999 0.5000 0.2952 1
```

Computed properties:
The value obtained for the energy relative to the elements is -0.249 eV per atom.



Entry 6:
Material: BaLaN
Method: DFT, PBE
State: relaxed

Structure (CIF):
```
data_BaLaN
_cell_length_a 3.7702
_cell_length_b 3.7702
_cell_length_c 14.4434
_cell_angle_alpha 90.00
_cell_angle_beta 90.00
_cell_angle_gamma 120.00
_symmetry_space_group_name_H-M 'P -6 m 2'
_symmetry_Int_Tables_number 187
_symmetry_space_group_name_Hall 'P -6 2'
loop_
_atom_site_label
_atom_site_fract_x
_atom_site_fract_y
_atom_site_fract_z
_atom_site_occupancy
Ba1 0.0000 0.0000 0.1108 1
La1 0.3333 0.6667 0.3944 1
N1 0.0000 0.0000 0.5000 1
N2 0.3333 0.6667 0.0000 1
```

Computed properties:
Its energy above the most stable polymorph in this dataset is 350 meV/atom. Its raw formation energy is -0.34 eV per atom.



Entry 7:
Material: AcAl9Ir2
Method: DFT, PBE
State: relaxed

Structure (CIF):
```
data_AcAl9Ir2
_cell_length_a 10.7346
_cell_length_b 10.7346
_cell_length_c 7.2368
_cell_angle_alpha 90.00
_cell_angle_beta 90.00
_cell_angle_gamma 90.00
_symmetry_space_group_name_H-M 'I 41/a m d'
_symmetry_Int_Tables_number 141
loop_
_symmetry_equiv_pos_as_xyz
'x,y,z'
'-x,-y,-z'
'-y+1/4,x+3/4,z+1/4'
'y+1/4,-x+3/4,-z+1/4'
'-x+1/2,-y,z+1/2'
'x+1/2,y,-z+1/2'
'y+1/4,-x+1/4,z+3/4'
'-y+1/4,x+1/4,-z+3/4'
'x,-y,-z'
'-x,y,z'
'-y+1/4,-x+1/4,-z+3/4'
'y+1/4,x+1/4,z+3/4'
'-x+1/2,y,-z+1/2'
'x+1/2,-y,z+1/2'
'y+1/4,x+3/4,-z+1/4'
'-y+1/4,-x+3/4,z+1/4'
'x+1/2,y+1/2,z+1/2'
'-x+1/2,-y+1/2,-z+1/2'
'-y+3/4,x+1/4,z+3/4'
'y+3/4,-x+1/4,-z+3/4'
'-x,-y+1/2,z'
'x,y+1/2,-z'
'y+3/4,-x+3/4,z+1/4'
'-y+3/4,x+3/4,-z+1/4'
'x+1/2,-y+1/2,-z+1/2'
'-x+1/2,y+1/2,z+1/2'
'-y+3/4,-x+3/4,-z+1/4'
'y+3/4,x+3/4,z+1/4'
'-x,y+1/2,-z'
'x,-y+1/2,z'
'y+3/4,x+1/4,-z+3/4'
'-y+3/4,-x+1/4,z+3/4'
loop_
_atom_site_label
_atom_site_fract_x
_atom_site_fract_y
_atom_site_fract_z
_atom_site_occupancy
Ac1 0.0000 0.2500 0.3750 1
Al1 0.0000 0.2500 0.8750 1
Al2 0.1231 0.0466 0.6903 1
Ir1 0.0000 0.0000 0.0000 1
```

Computed properties:
Its energy above the most stable polymorph in this dataset is 0 meV/atom. The value obtained for the energy relative to the elements is -0.560 eV per atom.



Entry 8:
Material: AlFe4Pt5
Method: DFT, PBE
State: relaxed

Structure (CIF):
```
data_AlFe4Pt5
_cell_length_a 2.7758
_cell_length_b 2.7758
_cell_length_c 18.4194
_cell_angle_alpha 90.00
_cell_angle_beta 90.00
_cell_angle_gamma 90.00
_symmetry_space_group_name_H-M 'P 4/m m m'
_symmetry_Int_Tables_number 123
_symmetry_space_group_name_Hall '-P 4 2'
loop_
_atom_site_label
_atom_site_fract_x
_atom_site_fract_y
_atom_site_fract_z
_atom_site_occupancy
Al1 0.0000 0.0000 0.0000 1
Fe1 0.0000 0.0000 0.1992 1
Fe2 0.0000 0.0000 0.3995 1
Pt1 0.5000 0.5000 0.0953 1
Pt2 0.5000 0.5000 0.2985 1
Pt3 0.5000 0.5000 0.5000 1
```

Computed properties:
The value obtained for the energy relative to the elements is -0.393 eV per atom.



Entry 9:
Material: Cd2MoI
Method: DFT, PBE
State: relaxed

Structure (CIF):
```
data_Cd2MoI
_cell_length_a 7.4327
_cell_length_b 7.4327
_cell_length_c 7.4327
_cell_angle_alpha 90.00
_cell_angle_beta 90.00
_cell_angle_gamma 90.00
_symmetry_space_group_name_H-M 'F m -3 m'
_symmetry_Int_Tables_number 225
_symmetry_space_group_name_Hall '-F 4 2 3'
loop_
_atom_site_label
_atom_site_fract_x
_atom_site_fract_y
_atom_site_fract_z
_atom_site_occupancy
Cd1 0.2500 0.2500 0.2500 1
Mo1 0.0000 0.0000 0.0000 1
I1 0.0000 0.0000 0.5000 1
```

Computed properties:
Its energy above the most stable polymorph in this dataset is 280 meV/atom. Its raw formation energy is 1.06 eV per atom.



Entry 10:
Material: Tl2MoOs
Method: DFT, PBE
State: relaxed

Structure (CIF):
```
data_Tl2MoOs
_cell_length_a 6.7672
_cell_length_b 6.7672
_cell_length_c 6.7672
_cell_angle_alpha 90.00
_cell_angle_beta 90.00
_cell_angle_gamma 90.00
_symmetry_space_group_name_H-M 'F -4 3 m'
_symmetry_Int_Tables_number 216
_symmetry_space_group_name_Hall 'F -4 2 3'
loop_
_atom_site_label
_atom_site_fract_x
_atom_site_fract_y
_atom_site_fract_z
_atom_site_occupancy
Tl1 0.0000 0.0000 0.0000 1
Tl2 0.2500 0.2500 0.2500 1
Mo1 0.0000 0.0000 0.5000 1
Os1 0.2500 0.2500 0.7500 1
```

Computed properties:
Its energy above the most stable polymorph in this dataset is 705 meV/atom. The value obtained for the energy relative to the elements is 1.123 eV per atom.



Entry 11:
Material: Pm6Ir2SeS3
Method: DFT, PBE
State: relaxed

Structure (CIF):
```
data_Pm6Ir2SeS3
_cell_length_a 18.1509
_cell_length_b 4.0525
_cell_length_c 8.4529
_cell_angle_alpha 90.00
_cell_angle_beta 105.24
_cell_angle_gamma 90.00
_symmetry_space_group_name_H-M 'C 1 2/m 1'
_symmetry_Int_Tables_number 12
loop_
_symmetry_equiv_pos_as_xyz
'x,y,z'
'-x,-y,-z'
'-x,y,-z'
'x,-y,z'
'x+1/2,y+1/2,z'
'-x+1/2,-y+1/2,-z'
'-x+1/2,y+1/2,-z'
'x+1/2,-y+1/2,z'
loop_
_atom_site_label
_atom_site_fract_x
_atom_site_fract_y
_atom_site_fract_z
_atom_site_occupancy
Pm1 0.0076 0.0000 0.2634 1
Pm2 0.1687 0.5000 0.5833 1
Pm3 0.1727 0.5000 0.1056 1
Ir1 0.1687 0.0000 0.3396 1
Se1 0.0000 0.5000 0.0000 1
S1 0.0000 0.5000 0.5000 1
S2 0.1599 0.0000 0.8420 1
```

Computed properties:
Its raw formation energy is -1.51 eV per atom.



Entry 12:
Material: MnSnPS
Method: DFT, PBE
State: relaxed

Structure (CIF):
```
data_MnSnPS
_cell_length_a 12.7217
_cell_length_b 3.7079
_cell_length_c 3.6832
_cell_angle_alpha 90.00
_cell_angle_beta 106.65
_cell_angle_gamma 90.00
_symmetry_space_group_name_H-M 'C 1 m 1'
_symmetry_Int_Tables_number 8
loop_
_symmetry_equiv_pos_as_xyz
'x,y,z'
'x,-y,z'
'x+1/2,y+1/2,z'
'x+1/2,-y+1/2,z'
loop_
_atom_site_label
_atom_site_fract_x
_atom_site_fract_y
_atom_site_fract_z
_atom_site_occupancy
Mn1 0.0000 0.0000 0.0000 1
Sn1 0.3000 0.0000 0.8030 1
P1 0.4015 0.5000 0.4025 1
S1 0.0850 0.5000 0.0834 1
```

Computed properties:
Its energy above the most stable polymorph in this dataset is 194 meV/atom. Its raw formation energy is -0.06 eV per atom.



| no. | energy (eV per atom) |
| --- | --- |
| 1 | -9.587 |
| 2 | -2.001 |
| 3 | -2.674 |
| 4 | -3.646 |
| 5 | -3.963 |
| 6 | -5.399 |
| 7 | -5.187 |
| 8 | -7.173 |
| 9 | -2.488 |
| 10 | -5.575 |
| 11 | -6.683 |
| 12 | -5.741 |